VASP calculation (GGA-PBE) on a geometry-optimized NpVGeOs structure.

Values from the calculation:
Calculated formation energy   123.9 kJ/mol of formula units
Total DFT energy (no corrections)   -36.6 eV for the cell shown
Symmetry   F-43m (216)
Volume   67 Å³ per cell
DOS(E_F)   9.296 states/eV per cell
Spin magnetization   4.5 μB/cell

Cell lengths 4.568, 4.568, 4.568 Å; angles 60.00, 60.00, 60.00 degrees
Fractional positions:
Np (0.000, 0.000, 0.000)
V (0.750, 0.750, 0.750)
Ge (0.250, 0.250, 0.250)
Os (0.500, 0.500, 0.500)